Version a
# CsNaOs3

CsNaOs3 after structural relaxation (PBE, Alexandria via LeMat-Bulk).

```
CsNaOs3
1.0
5.078 0.000 0.000
0.000 5.078 0.000
0.000 0.000 5.078
Cs Na Os
1 1 3
Direct
0.000 0.000 0.000
0.500 0.500 0.500
0.000 0.000 0.500
0.000 0.500 0.000
0.500 0.000 0.000
```

Version b
# CsNaOs3

CsNaOs3 after structural relaxation (PBE, Alexandria via LeMat-Bulk).

```
CsNaOs3
1.0
4.984 0.000 0.000
0.000 4.984 0.000
0.000 0.000 4.984
Cs Na Os
1 1 3
Direct
0.000 0.000 0.000
0.500 0.500 0.500
0.000 0.500 0.500
0.500 0.000 0.500
0.500 0.500 0.000
```

Q: Which of them is the least stable? A: version a.

Version a
# CsNa3P

CsNa3P after structural relaxation (PBE, Alexandria via LeMat-Bulk).

```
CsNa3P
1.0
6.087 0.000 0.000
0.000 6.087 0.000
0.000 0.000 6.087
Cs Na P
1 3 1
Direct
0.000 0.000 0.000
0.000 0.000 0.500
0.000 0.500 0.000
0.500 0.000 0.000
0.500 0.500 0.500
```

Version b
# CsNa3P

CsNa3P after structural relaxation (PBE, Alexandria via LeMat-Bulk).

```
CsNa3P
1.0
5.740 0.000 0.000
0.000 5.740 0.000
0.000 0.000 5.740
Cs Na P
1 3 1
Direct
0.000 0.000 0.000
0.000 0.500 0.500
0.500 0.000 0.500
0.500 0.500 0.000
0.500 0.500 0.500
```

Q: Which of them is the least stable? A: version a.

Version a
# CsNa2P2

CsNa2P2 after structural relaxation (PBE, Alexandria via LeMat-Bulk).

```
CsNa2P2
1.0
5.503 0.000 0.000
0.000 3.771 0.000
-1.635 0.000 13.268
Cs Na P
2 4 4
Direct
0.178 0.250 0.254
0.822 0.750 0.746
0.247 0.750 0.487
0.354 0.250 0.871
0.646 0.750 0.129
0.753 0.250 0.513
0.116 0.750 0.014
0.291 0.250 0.650
0.709 0.750 0.350
0.884 0.250 0.986
```

Version b
# CsNa2P2

CsNa2P2 after structural relaxation (PBE, Alexandria via LeMat-Bulk).

```
CsNa2P2
1.0
-2.623 2.623 5.008
2.623 -2.623 5.008
2.623 2.623 -5.008
Cs Na P
1 2 2
Direct
0.000 0.000 0.000
0.250 0.750 0.500
0.750 0.250 0.500
0.392 0.392 0.000
0.608 0.608 0.000
```

Q: Which of them is the least stable? A: version a.

Version a
# CsNa2P2

CsNa2P2 after structural relaxation (PBE, Alexandria via LeMat-Bulk).

```
CsNa2P2
1.0
8.525 0.000 0.000
0.000 8.525 0.000
0.000 0.000 4.363
Cs Na P
2 4 4
Direct
0.000 0.000 0.000
0.500 0.500 0.000
0.136 0.364 0.500
0.364 0.864 0.500
0.636 0.136 0.500
0.864 0.636 0.500
0.091 0.591 0.000
0.409 0.091 0.000
0.591 0.909 0.000
0.909 0.409 0.000
```

Version b
# CsNa2P2

CsNa2P2 after structural relaxation (PBE, Alexandria via LeMat-Bulk).

```
CsNa2P2
1.0
8.406 0.000 0.000
0.000 8.406 0.000
0.000 0.000 4.062
Cs Na P
2 4 4
Direct
0.000 0.000 0.000
0.500 0.500 0.000
0.141 0.359 0.000
0.359 0.859 0.000
0.641 0.141 0.000
0.859 0.641 0.000
0.095 0.595 0.500
0.405 0.095 0.500
0.595 0.905 0.500
0.905 0.405 0.500
```

Q: Which of them is the least stable? A: version b.

Version a
# Cs2NaPb2

Cs2NaPb2 after structural relaxation (PBE, Alexandria via LeMat-Bulk).

```
Cs2NaPb2
1.0
6.505 -3.893 0.000
6.505 3.893 0.000
-2.023 0.000 10.129
Cs Na Pb
4 2 4
Direct
0.025 0.690 0.870
0.310 0.975 0.630
0.690 0.025 0.370
0.975 0.310 0.130
0.415 0.585 0.250
0.585 0.415 0.750
0.181 0.516 0.495
0.484 0.819 0.005
0.516 0.181 0.995
0.819 0.484 0.505
```

Version b
# Cs2NaPb2

Cs2NaPb2 after structural relaxation (PBE, Alexandria via LeMat-Bulk).

```
Cs2NaPb2
1.0
11.355 0.000 0.000
0.000 11.355 0.000
0.000 0.000 3.943
Cs Na Pb
4 2 4
Direct
0.201 0.299 0.000
0.299 0.799 0.000
0.701 0.201 0.000
0.799 0.701 0.000
0.000 0.000 0.500
0.500 0.500 0.500
0.093 0.593 0.500
0.407 0.093 0.500
0.593 0.907 0.500
0.907 0.407 0.500
```

Version c
# Cs2NaPb2

Cs2NaPb2 after structural relaxation (PBE, Alexandria via LeMat-Bulk).

```
Cs2NaPb2
1.0
-2.879 2.879 8.077
2.879 -2.879 8.077
2.879 2.879 -8.077
Cs Na Pb
2 1 2
Direct
0.250 0.750 0.500
0.750 0.250 0.500
0.000 0.000 0.000
0.413 0.413 0.000
0.587 0.587 0.000
```

Q: Which of them is the least stable? A: version c.

Version a
# CsNaPb3

CsNaPb3 after structural relaxation (PBE, Alexandria via LeMat-Bulk).

```
CsNaPb3
1.0
7.023 0.000 0.000
0.000 5.794 0.000
-3.492 0.000 9.003
Cs Na Pb
2 2 6
Direct
0.080 0.250 0.158
0.920 0.750 0.842
0.354 0.750 0.710
0.646 0.250 0.290
0.055 0.250 0.593
0.452 0.250 0.904
0.461 0.750 0.407
0.539 0.250 0.593
0.548 0.750 0.096
0.945 0.750 0.407
```

Version b
# CsNaPb3

CsNaPb3 after structural relaxation (PBE, Alexandria via LeMat-Bulk).

```
CsNaPb3
1.0
6.427 0.000 0.000
0.000 6.427 0.000
0.000 0.000 6.427
Cs Na Pb
1 1 3
Direct
0.000 0.000 0.000
0.500 0.500 0.500
0.000 0.000 0.500
0.000 0.500 0.000
0.500 0.000 0.000
```

Q: Which of them is the least stable? A: version b.

Version a
# CsNa10Pb2

CsNa10Pb2 after structural relaxation (PBE, Alexandria via LeMat-Bulk).

```
CsNa10Pb2
1.0
5.944 -6.725 0.000
5.944 6.725 0.000
0.000 0.000 11.906
Cs Na Pb
2 20 4
Direct
0.126 0.874 0.750
0.874 0.126 0.250
0.122 0.415 0.750
0.169 0.831 0.091
0.169 0.831 0.409
0.224 0.475 0.250
0.231 0.231 0.000
0.231 0.231 0.500
0.378 0.622 0.555
0.378 0.622 0.945
0.415 0.122 0.250
0.475 0.224 0.750
0.525 0.776 0.250
0.585 0.878 0.750
0.622 0.378 0.055
0.622 0.378 0.445
0.769 0.769 0.000
0.769 0.769 0.500
0.776 0.525 0.750
0.831 0.169 0.591
0.831 0.169 0.909
0.878 0.585 0.250
0.000 0.500 0.000
0.000 0.500 0.500
0.500 0.000 0.000
0.500 0.000 0.500
```

Version b
# CsNa10Pb2

CsNa10Pb2 after structural relaxation (PBE, Alexandria via LeMat-Bulk).

```
CsNa10Pb2
1.0
0.000 8.244 8.525
3.562 0.000 8.525
3.562 8.244 0.000
Cs Na Pb
1 10 2
Direct
0.000 0.000 0.000
0.000 0.000 0.500
0.023 0.347 0.653
0.271 0.486 0.514
0.347 0.023 0.977
0.486 0.271 0.729
0.500 0.500 0.000
0.514 0.729 0.271
0.653 0.977 0.023
0.729 0.514 0.486
0.977 0.653 0.347
0.000 0.500 0.000
0.500 0.000 0.500
```

Q: Which of them is the least stable? A: version b.

Version a
# CsNa6Pb

CsNa6Pb after structural relaxation (PBE, Alexandria via LeMat-Bulk).

```
CsNa6Pb
1.0
4.320 2.494 5.556
-4.320 2.494 5.556
0.000 -4.989 5.556
Cs Na Pb
1 6 1
Direct
0.000 0.000 0.000
0.038 0.628 0.628
0.372 0.372 0.962
0.372 0.962 0.372
0.628 0.038 0.628
0.628 0.628 0.038
0.962 0.372 0.372
0.500 0.500 0.500
```

Version b
# CsNa6Pb

CsNa6Pb after structural relaxation (PBE, Alexandria via LeMat-Bulk).

```
CsNa6Pb
1.0
5.797 0.000 0.000
0.000 8.939 0.000
0.000 0.000 6.269
Cs Na Pb
1 6 1
Direct
0.000 0.000 0.000
0.000 0.312 0.475
0.000 0.500 0.016
0.000 0.688 0.475
0.500 0.000 0.462
0.500 0.319 0.821
0.500 0.681 0.821
0.500 0.500 0.319
```

Q: Which of them is the least stable? A: version a.

Version a
# CsNa2PdPb

CsNa2PdPb after structural relaxation (PBE, Alexandria via LeMat-Bulk).

```
CsNa2PdPb
1.0
6.035 0.000 0.000
0.000 6.035 0.000
0.000 0.000 5.312
Cs Na Pd Pb
1 2 1 1
Direct
0.000 0.000 0.000
0.000 0.500 0.500
0.500 0.000 0.500
0.500 0.500 0.000
0.500 0.500 0.500
```

Version b
# CsNa2PdPb

CsNa2PdPb after structural relaxation (PBE, Alexandria via LeMat-Bulk).

```
CsNa2PdPb
1.0
5.803 0.000 0.000
0.000 5.803 0.000
0.000 0.000 5.294
Cs Na Pd Pb
1 2 1 1
Direct
0.000 0.000 0.000
0.000 0.500 0.500
0.500 0.000 0.500
0.500 0.500 0.500
0.500 0.500 0.000
```

Q: Which of them is the least stable? A: version a.

Version a
# CsNaTlPb

CsNaTlPb after structural relaxation (PBE, Alexandria via LeMat-Bulk).

```
CsNaTlPb
1.0
4.655 -2.682 0.000
4.655 2.682 0.000
-3.108 0.000 7.236
Cs Na Tl Pb
1 1 1 1
Direct
0.000 0.000 0.000
0.188 0.188 0.566
0.442 0.442 0.326
0.813 0.813 0.440
```

Version b
# CsNaTlPb

CsNaTlPb after structural relaxation (PBE, Alexandria via LeMat-Bulk).

```
CsNaTlPb
1.0
0.000 4.167 4.167
4.167 0.000 4.167
4.167 4.167 0.000
Cs Na Tl Pb
1 1 1 1
Direct
0.000 0.000 0.000
0.250 0.250 0.250
0.750 0.750 0.750
0.500 0.500 0.500
```

Q: Which of them is the least stable? A: version b.

Version a
# CsNa2TlPb

CsNa2TlPb after structural relaxation (PBE, Alexandria via LeMat-Bulk).

```
CsNa2TlPb
1.0
6.143 0.000 0.000
0.000 6.143 0.000
0.000 0.000 6.105
Cs Na Tl Pb
1 2 1 1
Direct
0.000 0.000 0.000
0.000 0.500 0.500
0.500 0.000 0.500
0.500 0.500 0.000
0.500 0.500 0.500
```

Version b
# CsNa2TlPb

CsNa2TlPb after structural relaxation (PBE, Alexandria via LeMat-Bulk).

```
CsNa2TlPb
1.0
6.092 0.000 0.000
0.000 6.092 0.000
0.000 0.000 6.015
Cs Na Tl Pb
1 2 1 1
Direct
0.000 0.000 0.000
0.000 0.500 0.500
0.500 0.000 0.500
0.500 0.500 0.500
0.500 0.500 0.000
```

Q: Which of them is the least stable? A: version b.

Version a
# CsNa2Pd2

CsNa2Pd2 after structural relaxation (PBE, Alexandria via LeMat-Bulk).

```
CsNa2Pd2
1.0
-2.522 2.522 5.827
2.522 -2.522 5.827
2.522 2.522 -5.827
Cs Na Pd
1 2 2
Direct
0.000 0.000 0.000
0.250 0.750 0.500
0.750 0.250 0.500
0.387 0.387 0.000
0.613 0.613 0.000
```

Version b
# CsNa2Pd2

CsNa2Pd2 after structural relaxation (PBE, Alexandria via LeMat-Bulk).

```
CsNa2Pd2
1.0
8.640 0.000 0.000
0.000 8.640 0.000
0.000 0.000 3.454
Cs Na Pd
2 4 4
Direct
0.000 0.000 0.000
0.500 0.500 0.000
0.158 0.342 0.500
0.342 0.842 0.500
0.658 0.158 0.500
0.842 0.658 0.500
0.118 0.618 0.000
0.382 0.118 0.000
0.618 0.882 0.000
0.882 0.382 0.000
```

Q: Which of them is the least stable? A: version b.